No. 1
Below is an optimized crystal structure of RbTlTeI2, with properties calculated at the PBE level.

Values from the calculation:
Symmetry ... P4/mmm (123)
M_tot ... 2.1 Bohr magnetons per cell
ΔE to the lowest computed polymorph ... 0.409 eV/atom
Final energy ... -2.0208 eV per atom
D(E_F) ... 5.72 states/eV/cell
ΔE_f (raw) ... -105.7 meV per atom

abc: 6.851 6.851 6.626
angles: 90.00 90.00 90.00
Fractional positions:
Rb  0.000  0.000  0.000
Tl  0.500  0.500  0.500
Te  0.000  0.000  0.500
I  0.000  0.500  0.000
I  0.500  0.000  0.000


No. 2
Below is an optimized crystal structure of PrHo2Co6, with properties calculated at the PBE level.

Values from the calculation:
Symmetry ... P6/mmm (191)
M_tot ... 4.4 Bohr magnetons per cell
Final energy ... -6.4219 eV per atom
ΔE_f ... -0.136 eV per atom
D(E_F) ... 6.87 states/eV/cell

abc: 6.691 6.691 4.097
angles: 90.00 90.00 120.00
Fractional positions:
Pr  0.000  0.000  0.000
Ho  0.333  0.667  0.000
Ho  0.667  0.333  0.000
Co  0.000  0.336  0.500
Co  0.000  0.664  0.500
Co  0.336  0.000  0.500
Co  0.336  0.336  0.500
Co  0.664  0.000  0.500
Co  0.664  0.664  0.500


No. 3
Below is an optimized crystal structure of Tl14PbAu, with properties calculated at the PBE level.

Values from the calculation:
Symmetry ... Amm2 (38)
M_tot ... 0.0 Bohr magnetons per cell
Final energy ... -2.4949 eV per atom
ΔE_f ... 0.012 eV per atom
D(E_F) ... 7.14 states/eV/cell

abc: 10.915 6.820 6.820
angles: 73.17 90.00 90.00
Fractional positions:
Tl  0.000  0.000  0.000
Tl  0.000  0.464  0.464
Tl  0.000  0.507  0.953
Tl  0.000  0.953  0.507
Tl  0.241  0.236  0.236
Tl  0.257  0.796  0.796
Tl  0.272  0.307  0.727
Tl  0.272  0.727  0.307
Tl  0.500  0.044  0.510
Tl  0.500  0.510  0.044
Tl  0.728  0.307  0.727
Tl  0.728  0.727  0.307
Tl  0.743  0.796  0.796
Tl  0.759  0.236  0.236
Pb  0.500  0.018  0.018
Au  0.500  0.573  0.573


No. 4
Below is an optimized crystal structure of Cs2PmTmO4, with properties calculated at the PBE level.

Values from the calculation:
Symmetry ... P2/m (10)
M_tot ... 0.0 Bohr magnetons per cell
Final energy ... -6.4337 eV per atom
D(E_F) ... 0.00 states/eV/cell
ΔE_f (raw) ... -2588.4 meV per atom

abc: 6.218 3.590 7.204
angles: 90.00 106.65 90.00
Fractional positions:
Cs  0.000  0.000  0.000
Cs  0.500  0.500  0.000
Pm  0.000  0.500  0.500
Tm  0.500  0.000  0.500
O  0.233  0.000  0.665
O  0.289  0.500  0.335
O  0.711  0.500  0.665
O  0.767  0.000  0.335


No. 5
Below is an optimized crystal structure of RbSn2Pb2Au2, with properties calculated at the PBE level.

Values from the calculation:
Symmetry ... R-3m (166)
M_tot ... 0.0 Bohr magnetons per cell
Final energy ... -3.4679 eV per atom
ΔE_f ... -0.190 eV per atom
D(E_F) ... 1.54 states/eV/cell

abc: 12.382 12.382 12.382
angles: 21.60 21.60 21.60
Fractional positions:
Rb  0.000  0.000  0.000
Sn  0.407  0.407  0.407
Sn  0.593  0.593  0.593
Pb  0.133  0.133  0.133
Pb  0.867  0.867  0.867
Au  0.241  0.241  0.241
Au  0.759  0.759  0.759


No. 6
Below is an optimized crystal structure of CaSmAg4, with properties calculated at the PBE level.

Values from the calculation:
Symmetry ... Amm2 (38)
M_tot ... 0.0 Bohr magnetons per cell
ΔE to the lowest computed polymorph ... 0.000 eV/atom
Final energy ... -3.2818 eV per atom
ΔE_f ... -0.261 eV per atom
D(E_F) ... 2.24 states/eV/cell

abc: 5.339 5.436 5.436
angles: 121.14 90.00 90.00
Fractional positions:
Ca  0.000  0.000  0.000
Sm  0.500  0.498  0.498
Ag  0.000  0.327  0.674
Ag  0.000  0.674  0.327
Ag  0.500  0.170  0.826
Ag  0.500  0.826  0.170


No. 7
Below is an optimized crystal structure of Tl2In3Hg7, with properties calculated at the PBE level.

Values from the calculation:
Symmetry ... P2/m (10)
M_tot ... 0.0 Bohr magnetons per cell
ΔE to the lowest computed polymorph ... 0.000 eV/atom
Final energy ... -1.2435 eV per atom
ΔE_f ... 0.012 eV per atom
D(E_F) ... 3.25 states/eV/cell

abc: 9.104 3.213 11.907
angles: 90.00 105.25 90.00
Fractional positions:
Tl  0.186  0.000  0.004
Tl  0.814  0.000  0.996
In  0.173  0.500  0.504
In  0.500  0.000  0.500
In  0.827  0.500  0.496
Hg  0.043  0.000  0.258
Hg  0.307  0.000  0.753
Hg  0.370  0.500  0.253
Hg  0.500  0.500  0.000
Hg  0.630  0.500  0.747
Hg  0.693  0.000  0.247
Hg  0.957  0.000  0.742


No. 8
Below is an optimized crystal structure of KCSeN2, with properties calculated at the PBE level.

Values from the calculation:
Symmetry ... P4/mmm (123)
M_tot ... 7.0 Bohr magnetons per cell
ΔE to the lowest computed polymorph ... 1.203 eV/atom
Final energy ... -2.6776 eV per atom
D(E_F) ... 0.42 states/eV/cell
ΔE_f (raw) ... 3413.8 meV per atom

abc: 4.982 4.982 5.702
angles: 90.00 90.00 90.00
Fractional positions:
K  0.000  0.000  0.000
C  0.000  0.000  0.500
Se  0.500  0.500  0.500
N  0.000  0.500  0.000
N  0.500  0.000  0.000